# 1
Tb2CeCo3: optimized geometry, PBE. Values from VASP.

ΔE_f: -0.167 eV per atom
symmetry: P2_1 (4)

Quantum ESPRESSO input file:
```
&SYSTEM
  ibrav = 0, nat = 12, ntyp = 3
/
ATOMIC_SPECIES
Tb 158.93 Tb.upf
Ce 140.12 Ce.upf
Co 58.93 Co.upf
CELL_PARAMETERS angstrom
7.219 0.000 0.000
0.000 5.067 0.000
-3.363 0.000 6.594
ATOMIC_POSITIONS crystal
Tb 0.150 0.000 0.474
Tb 0.164 0.499 0.156
Tb 0.836 0.999 0.844
Tb 0.850 0.500 0.526
Ce 0.459 0.512 0.803
Ce 0.541 0.012 0.197
Co 0.185 0.777 0.840
Co 0.195 0.246 0.836
Co 0.497 0.697 0.527
Co 0.503 0.197 0.473
Co 0.805 0.746 0.164
Co 0.815 0.277 0.160
```


# 2
CdAgSnGe: optimized geometry, PBE. Values from VASP.

ΔE_f: 0.172 eV per atom
symmetry: F-43m (216)

Quantum ESPRESSO input file:
```
&SYSTEM
  ibrav = 0, nat = 4, ntyp = 4
/
ATOMIC_SPECIES
Cd 112.41 Cd.upf
Ag 107.87 Ag.upf
Sn 118.71 Sn.upf
Ge 72.64 Ge.upf
CELL_PARAMETERS angstrom
0.000 3.541 3.541
3.541 0.000 3.541
3.541 3.541 0.000
ATOMIC_POSITIONS crystal
Cd 0.000 0.000 0.000
Ag 0.250 0.250 0.250
Sn 0.500 0.500 0.500
Ge 0.750 0.750 0.750
```


# 3
NdZrZnAg: optimized geometry, PBE. Values from VASP.

ΔE_f: -0.089 eV per atom
symmetry: F-43m (216)

Quantum ESPRESSO input file:
```
&SYSTEM
  ibrav = 0, nat = 4, ntyp = 4
/
ATOMIC_SPECIES
Nd 144.24 Nd.upf
Zr 91.22 Zr.upf
Zn 65.41 Zn.upf
Ag 107.87 Ag.upf
CELL_PARAMETERS angstrom
0.000 3.570 3.570
3.570 0.000 3.570
3.570 3.570 0.000
ATOMIC_POSITIONS crystal
Nd 0.000 0.000 0.000
Zr 0.500 0.500 0.500
Zn 0.750 0.750 0.750
Ag 0.250 0.250 0.250
```


# 4
Y2ScOs: optimized geometry, PBE. Values from VASP.

energy above the most stable polymorph in this dataset: 0 meV per atom
ΔE_f: -0.264 eV per atom
symmetry: Pnma (62)

Quantum ESPRESSO input file:
```
&SYSTEM
  ibrav = 0, nat = 16, ntyp = 3
/
ATOMIC_SPECIES
Y 88.91 Y.upf
Sc 44.96 Sc.upf
Os 190.23 Os.upf
CELL_PARAMETERS angstrom
7.172 0.000 0.000
0.000 8.978 0.000
0.000 0.000 6.265
ATOMIC_POSITIONS crystal
Y 0.177 0.061 0.175
Y 0.177 0.439 0.175
Y 0.323 0.561 0.675
Y 0.323 0.939 0.675
Y 0.677 0.061 0.325
Y 0.677 0.439 0.325
Y 0.823 0.561 0.825
Y 0.823 0.939 0.825
Sc 0.044 0.250 0.633
Sc 0.456 0.750 0.133
Sc 0.544 0.250 0.867
Sc 0.956 0.750 0.367
Os 0.119 0.750 0.986
Os 0.381 0.250 0.486
Os 0.619 0.750 0.514
Os 0.881 0.250 0.014
```


# 5
Na4Sc3GeO8: optimized geometry, PBE. Values from VASP.

symmetry: R-3m (166)
total energy: -0.496 Ry/atom

Quantum ESPRESSO input file:
```
&SYSTEM
  ibrav = 0, nat = 16, ntyp = 4
/
ATOMIC_SPECIES
Na 22.99 Na.upf
Sc 44.96 Sc.upf
Ge 72.64 Ge.upf
O 16.00 O.upf
CELL_PARAMETERS angstrom
3.181 1.837 5.474
-3.181 1.837 5.474
0.000 -3.674 5.474
ATOMIC_POSITIONS crystal
Na 0.000 0.000 0.000
Na 0.000 0.500 0.500
Na 0.500 0.000 0.500
Na 0.500 0.500 0.000
Sc 0.000 0.000 0.500
Sc 0.000 0.500 0.000
Sc 0.500 0.000 0.000
Ge 0.500 0.500 0.500
O 0.234 0.234 0.234
O 0.236 0.733 0.733
O 0.267 0.267 0.764
O 0.267 0.764 0.267
O 0.733 0.236 0.733
O 0.733 0.733 0.236
O 0.764 0.267 0.267
O 0.766 0.766 0.766
```


# 6
LaThPb2: optimized geometry, PBE. Values from VASP.

ΔE_f: -0.309 eV per atom
symmetry: Fm-3m (225)

Quantum ESPRESSO input file:
```
&SYSTEM
  ibrav = 0, nat = 4, ntyp = 3
/
ATOMIC_SPECIES
La 138.91 La.upf
Th 232.04 Th.upf
Pb 207.20 Pb.upf
CELL_PARAMETERS angstrom
0.000 3.977 3.977
3.977 0.000 3.977
3.977 3.977 0.000
ATOMIC_POSITIONS crystal
La 0.000 0.000 0.000
Th 0.500 0.500 0.500
Pb 0.250 0.250 0.250
Pb 0.750 0.750 0.750
```


# 7
MgReBr2: optimized geometry, PBE. Values from VASP.

energy above the most stable polymorph in this dataset: 146 meV per atom
symmetry: Immm (71)

Quantum ESPRESSO input file:
```
&SYSTEM
  ibrav = 0, nat = 4, ntyp = 3
/
ATOMIC_SPECIES
Mg 24.30 Mg.upf
Re 186.21 Re.upf
Br 79.90 Br.upf
CELL_PARAMETERS angstrom
-1.622 2.291 7.297
1.622 -2.291 7.297
1.622 2.291 -7.297
ATOMIC_POSITIONS crystal
Mg 0.000 0.000 0.000
Re 0.500 0.500 0.000
Br 0.362 0.862 0.500
Br 0.638 0.138 0.500
```


# 8
TeIr2Rh: optimized geometry, PBE. Values from VASP.

symmetry: Imm2 (44)
total energy: -0.487 Ry/atom

Quantum ESPRESSO input file:
```
&SYSTEM
  ibrav = 0, nat = 4, ntyp = 3
/
ATOMIC_SPECIES
Te 127.60 Te.upf
Ir 192.22 Ir.upf
Rh 102.91 Rh.upf
CELL_PARAMETERS angstrom
-1.452 2.400 4.719
1.452 -2.400 4.719
1.452 2.400 -4.719
ATOMIC_POSITIONS crystal
Te 0.000 0.000 0.000
Ir 0.509 0.509 0.000
Ir 0.756 0.256 0.500
Rh 0.248 0.748 0.500
```


# 9
Mg12Co3H5: optimized geometry, PBE. Values from VASP.

symmetry: Ia-3d (230)
total energy: -0.202 Ry/atom

Quantum ESPRESSO input file:
```
&SYSTEM
  ibrav = 0, nat = 80, ntyp = 3
/
ATOMIC_SPECIES
Mg 24.30 Mg.upf
Co 58.93 Co.upf
H 1.01 H.upf
CELL_PARAMETERS angstrom
-6.764 6.764 6.764
6.764 -6.764 6.764
6.764 6.764 -6.764
ATOMIC_POSITIONS crystal
Mg 0.028 0.213 0.122
Mg 0.028 0.315 0.907
Mg 0.092 0.713 0.685
Mg 0.092 0.878 0.407
Mg 0.093 0.622 0.408
Mg 0.093 0.972 0.685
Mg 0.122 0.028 0.213
Mg 0.122 0.593 0.908
Mg 0.185 0.213 0.592
Mg 0.185 0.472 0.593
Mg 0.213 0.122 0.028
Mg 0.213 0.592 0.185
Mg 0.287 0.315 0.908
Mg 0.287 0.472 0.378
Mg 0.315 0.907 0.028
Mg 0.315 0.908 0.287
Mg 0.378 0.287 0.472
Mg 0.378 0.592 0.907
Mg 0.407 0.092 0.878
Mg 0.407 0.815 0.528
Mg 0.408 0.093 0.622
Mg 0.408 0.815 0.787
Mg 0.472 0.378 0.287
Mg 0.472 0.593 0.185
Mg 0.528 0.407 0.815
Mg 0.528 0.622 0.713
Mg 0.592 0.185 0.213
Mg 0.592 0.907 0.378
Mg 0.593 0.185 0.472
Mg 0.593 0.908 0.122
Mg 0.622 0.408 0.093
Mg 0.622 0.713 0.528
Mg 0.685 0.092 0.713
Mg 0.685 0.093 0.972
Mg 0.713 0.528 0.622
Mg 0.713 0.685 0.092
Mg 0.787 0.408 0.815
Mg 0.787 0.878 0.972
Mg 0.815 0.528 0.407
Mg 0.815 0.787 0.408
Mg 0.878 0.407 0.092
Mg 0.878 0.972 0.787
Mg 0.907 0.028 0.315
Mg 0.907 0.378 0.592
Mg 0.908 0.122 0.593
Mg 0.908 0.287 0.315
Mg 0.972 0.685 0.093
Mg 0.972 0.787 0.878
Co 0.125 0.250 0.375
Co 0.125 0.375 0.750
Co 0.250 0.375 0.125
Co 0.250 0.875 0.625
Co 0.375 0.125 0.250
Co 0.375 0.750 0.125
Co 0.625 0.250 0.875
Co 0.625 0.875 0.750
Co 0.750 0.125 0.375
Co 0.750 0.625 0.875
Co 0.875 0.625 0.250
Co 0.875 0.750 0.625
H 0.000 0.000 0.000
H 0.000 0.000 0.500
H 0.000 0.500 0.000
H 0.000 0.500 0.500
H 0.125 0.750 0.875
H 0.125 0.875 0.250
H 0.250 0.125 0.875
H 0.250 0.625 0.375
H 0.375 0.250 0.625
H 0.375 0.625 0.750
H 0.500 0.000 0.000
H 0.500 0.000 0.500
H 0.500 0.500 0.000
H 0.500 0.500 0.500
H 0.625 0.375 0.250
H 0.625 0.750 0.375
H 0.750 0.375 0.625
H 0.750 0.875 0.125
H 0.875 0.125 0.750
H 0.875 0.250 0.125
```


# 10
PaO2: optimized geometry, PBE. Values from VASP.

symmetry: P4_2/mnm (136)
total energy: -0.724 Ry/atom

Quantum ESPRESSO input file:
```
&SYSTEM
  ibrav = 0, nat = 6, ntyp = 2
/
ATOMIC_SPECIES
Pa 231.04 Pa.upf
O 16.00 O.upf
CELL_PARAMETERS angstrom
5.199 0.000 0.000
0.000 5.199 0.000
0.000 0.000 3.635
ATOMIC_POSITIONS crystal
Pa 0.000 0.000 0.000
Pa 0.500 0.500 0.500
O 0.191 0.191 0.500
O 0.309 0.691 0.000
O 0.691 0.309 0.000
O 0.809 0.809 0.500
```


| no. | size of the total moment (μB per cell) |
| --- | --- |
| 1 | 0.0 |
| 2 | 0.0 |
| 3 | 1.2 |
| 4 | 0.0 |
| 5 | 0.0 |
| 6 | 0.0 |
| 7 | 0.6 |
| 8 | 0.0 |
| 9 | 3.9 |
| 10 | 2.0 |